# 1
{"formula": "Li3SiHg", "functional": "SCAN", "state": "PBEsol geometry", "formation_energy_uncorrected_ev_per_atom": 0.101, "spacegroup": "No. 221", "lattice_angstrom": [[-2.302, 3.161, 2.712], [-4.145, -1.438, -1.842], [-0.404, -3.254, 3.449]], "species": ["Si", "Hg", "Li", "Li", "Li"], "fractional_positions": [[0.000, 0.000, 0.000], [0.500, 0.500, 0.500], [0.000, 0.500, 0.000], [0.000, 0.000, 0.500], [0.500, 0.000, 0.000]]}

# 2
{"formula": "Li2SiHg", "functional": "SCAN", "state": "PBEsol geometry", "formation_energy_uncorrected_ev_per_atom": -0.279, "spacegroup": "No. 216", "lattice_angstrom": [[-4.167, 0.499, 1.458], [-3.417, -0.742, -2.742], [-2.589, -3.562, 0.590]], "species": ["Si", "Hg", "Li", "Li"], "fractional_positions": [[0.750, 0.750, 0.750], [0.000, 0.000, 0.000], [0.250, 0.250, 0.250], [0.500, 0.500, 0.500]]}